A geometry-optimized Ag6Pd2Au3 structure, computed with PBE.

Unit cell a=5.0009 b=6.5254 c=6.5367 alpha=107.33 beta=98.01 gamma=105.19
Space group P-1 (No. 2)
Unique sites:
Ag: 0.0885 0.3606 0.3185 x2
Ag: 0.1832 0.7290 0.1407 x2
Ag: 0.2759 0.0909 0.9544 x2
Pd: 0.4573 0.8192 0.5898 x2
Au: 0.0000 0.0000 0.5000 x1
Au: 0.3668 0.4588 0.7698 x2

Calculated values
DFT total energy = -3.461 eV/atom
distance to the lowest polymorph of the same formula = 0.0 meV per atom
M_tot = 0.0 Bohr magnetons per cell
calculated formation energy = -0.068 eV/atom